The following is a DFT calculation (PBE) of crystalline CdHg4Au at its relaxed geometry.

The structure in POSCAR format:
```
CdHg4Au
1.0
-0.5148 -4.0057 4.4165
-0.4887 1.8457 5.6719
-5.1980 -0.6000 2.9047
Au Cd Hg
1 1 4
Direct
0.7500 0.7500 0.7500 Au
0.0000 0.0000 0.0000 Cd
0.3753 0.3753 0.8741 Hg
0.3753 0.8741 0.3753 Hg
0.8741 0.3753 0.3753 Hg
0.3753 0.3753 0.3753 Hg
```

Computed properties:
* space-group type: No. 216
* formation energy: 0.2807 eV per atom
* N(E_F): 0.73 states/eV per atom
* electronic total energy: -3.7 eV/f.u.
* M_tot: 0.00 μB per formula unit